{"formula": "Li4MgPt", "functional": "PBE-GGA", "state": "optimized geometry", "spacegroup": "P6/mmm, No. 191", "magnetic_moment_mub_per_fu": 0.00, "formation_enthalpy_0k_ev_per_fu": -2.02, "final_energy_ev_per_atom": -2.886, "crystal_system": "hexagonal", "rho_g_cm3": 4.3, "cell": [[4.5297, 0.0000, 0.0000], [-2.2649, 3.9228, 0.0000], [0.0000, 0.0000, 5.3591]], "species": ["Li", "Li", "Li", "Li", "Mg", "Pt"], "fractional_positions": [[0.3333, 0.6667, 0.2206], [0.3333, 0.6667, 0.7794], [0.6667, 0.3333, 0.2206], [0.6667, 0.3333, 0.7794], [0.0000, 0.0000, 0.5000], [0.0000, 0.0000, 0.0000]]}


{"formula": "Li4MgPt", "functional": "PBE-GGA", "state": "optimized geometry", "spacegroup": "F-43m, No. 216", "magnetic_moment_mub_per_fu": 0.00, "formation_enthalpy_0k_ev_per_fu": -1.23, "final_energy_ev_per_atom": -2.754, "crystal_system": "cubic", "rho_g_cm3": 4.6, "cell": [[0.0000, 3.5344, 3.5344], [3.5344, 0.0000, 3.5344], [3.5344, 3.5344, 0.0000]], "species": ["Li", "Li", "Li", "Li", "Mg", "Pt"], "fractional_positions": [[0.3773, 0.3773, 0.3773], [0.3773, 0.3773, 0.8682], [0.3773, 0.8682, 0.3773], [0.8682, 0.3773, 0.3773], [0.0000, 0.0000, 0.0000], [0.7500, 0.7500, 0.7500]]}


{"formula": "LiMg5Pt3", "functional": "PBE-GGA", "state": "optimized geometry", "spacegroup": "P6_3/mcm, No. 193", "magnetic_moment_mub_per_fu": 0.00, "formation_enthalpy_0k_ev_per_fu": -5.92, "final_energy_ev_per_atom": -3.770, "crystal_system": "hexagonal", "rho_g_cm3": 7.7, "cell": [[7.9437, 0.0000, 0.0000], [-3.9719, 6.8795, 0.0000], [0.0000, 0.0000, 5.6421]], "species": ["Li", "Li", "Mg", "Mg", "Mg", "Mg", "Mg", "Mg", "Mg", "Mg", "Mg", "Mg", "Pt", "Pt", "Pt", "Pt", "Pt", "Pt"], "fractional_positions": [[0.0000, 0.0000, 0.0000], [0.0000, 0.0000, 0.5000], [0.0000, 0.3101, 0.2500], [0.0000, 0.6899, 0.7500], [0.3101, 0.0000, 0.2500], [0.3101, 0.3101, 0.7500], [0.3333, 0.6667, 0.0000], [0.3333, 0.6667, 0.5000], [0.6667, 0.3333, 0.0000], [0.6667, 0.3333, 0.5000], [0.6899, 0.0000, 0.7500], [0.6899, 0.6899, 0.2500], [0.0000, 0.3542, 0.7500], [0.0000, 0.6458, 0.2500], [0.3542, 0.0000, 0.7500], [0.3542, 0.3542, 0.2500], [0.6458, 0.0000, 0.2500], [0.6458, 0.6458, 0.7500]]}


{"formula": "LiMgPt", "functional": "PBE-GGA", "state": "optimized geometry", "spacegroup": "Pnma, No. 62", "magnetic_moment_mub_per_fu": 0.00, "formation_enthalpy_0k_ev_per_fu": -1.92, "final_energy_ev_per_atom": -3.824, "crystal_system": "orthorhombic", "rho_g_cm3": 8.1, "cell": [[5.7438, 0.0000, 0.0000], [0.0000, 3.9927, 0.0000], [0.0000, 0.0000, 8.1180]], "species": ["Li", "Li", "Li", "Li", "Mg", "Mg", "Mg", "Mg", "Pt", "Pt", "Pt", "Pt"], "fractional_positions": [[0.1246, 0.2500, 0.0780], [0.3754, 0.7500, 0.5780], [0.6246, 0.2500, 0.4220], [0.8754, 0.7500, 0.9220], [0.1353, 0.2500, 0.3981], [0.3647, 0.7500, 0.8981], [0.6353, 0.2500, 0.1019], [0.8647, 0.7500, 0.6019], [0.1206, 0.2500, 0.7407], [0.3794, 0.7500, 0.2407], [0.6206, 0.2500, 0.7593], [0.8794, 0.7500, 0.2593]]}